Record 1
A plane-wave DFT calculation with PBE was carried out for a geometry-optimized OsRuN structure.

Properties
The calculation puts the energy above the lowest structure with this stoichiometry at 68 meV per atom. The value obtained for the total energy is -9.1899 eV per atom. The formation energy without anion corrections comes out at 0.420 eV/atom. As for the volume: 145.60 Å³/cell.

Lattice parameters (Å, degrees): 5.707 2.747 10.032 90.00 112.18 90.00
Element x y z (fractional)
N 0.068 0.500 0.466
Os 0.791 0.500 0.890
Os 0.791 0.000 0.390
Ru 0.334 0.500 0.676
Ru 0.334 0.000 0.176
N 0.113 0.000 0.719
N 0.113 0.500 0.219
Ru 0.732 0.500 0.142
Ru 0.732 0.000 0.642
Os 0.392 0.000 0.919
Os 0.392 0.500 0.419
N 0.068 0.000 0.966

Record 2
A plane-wave DFT calculation with PBE was carried out for a geometry-optimized Sm12ErTm3 structure.

Properties
For the formation enthalpy at 0 K, the calculation gives 0.017 eV/atom. The value obtained for the total energy is -4.6458 eV per atom. As for the volume: 524.45 Å³/cell.

Lattice parameters (Å, degrees): 5.084 5.084 20.288 90.00 90.00 90.00
Element x y z (fractional)
Sm 0.500 0.000 0.625
Sm 0.000 0.500 0.625
Sm 0.500 0.000 0.875
Sm 0.500 0.500 0.000
Sm 0.000 0.500 0.125
Tm 0.000 0.000 0.250
Er 0.000 0.000 0.000
Sm 0.500 0.000 0.125
Sm 0.000 0.500 0.875
Sm 0.500 0.500 0.750
Sm 0.000 0.500 0.375
Sm 0.500 0.500 0.500
Sm 0.500 0.000 0.375
Tm 0.000 0.000 0.500
Sm 0.500 0.500 0.250
Tm 0.000 0.000 0.750

Record 3
A plane-wave DFT calculation with PBE was carried out for a geometry-optimized Ta3V8Ru structure.

Properties
For the formation enthalpy at 0 K, the calculation gives -0.115 eV/atom. The value obtained for the total energy is -9.9301 eV per atom. As for the volume: 177.31 Å³/cell.

Lattice parameters (Å, degrees): 5.017 5.017 8.634 73.11 73.11 60.00
Element x y z (fractional)
V 0.939 0.939 0.684
V 0.437 0.936 0.191
Ru 0.875 0.875 0.375
V 0.687 0.687 0.940
V 0.437 0.437 0.191
Ta 0.500 0.500 0.500
V 0.936 0.437 0.191
Ta 0.375 0.375 0.875
V 0.188 0.188 0.436
Ta 0.000 0.000 0.000
V 0.439 0.939 0.684
V 0.939 0.439 0.684

Record 4
A plane-wave DFT calculation with PBE was carried out for a geometry-optimized SmYFe structure.

Properties
The calculation puts the energy above the lowest structure with this stoichiometry at 0 meV per atom. For the formation enthalpy at 0 K, the calculation gives 0.084 eV/atom. The value obtained for the total energy is -6.4648 eV per atom. As for the volume: 311.00 Å³/cell.

Lattice parameters (Å, degrees): 7.002 6.963 7.379 90.00 90.00 120.18
Element x y z (fractional)
Fe 0.591 0.182 0.542
Sm 0.801 0.603 0.386
Y 0.208 0.916 0.750
Fe 0.091 0.182 0.958
Sm 0.301 0.603 0.114
Fe 0.909 0.818 0.042
Y 0.792 0.084 0.250
Sm 0.199 0.397 0.614
Y 0.292 0.084 0.250
Fe 0.409 0.818 0.458
Sm 0.699 0.397 0.886
Y 0.708 0.916 0.750